(1)
# TcPdBr PBE-GGA optimized geometry
# V	22.95	A^3/atom
# formation energy (no corrections)	0.09	eV/atom
# energy relative to the lowest polymorph listed for this composition	42	meV per atom
# VASP energy	-5.65	eV/atom
data_TcPdBr
_symmetry_space_group_name_H-M 'A m a 2'
_symmetry_Int_Tables_number 40
_cell_length_a 3.620
_cell_length_b 17.870
_cell_length_c 4.257
_cell_angle_alpha 90.00
_cell_angle_beta 90.00
_cell_angle_gamma 90.00
loop_
_symmetry_equiv_pos_as_xyz
'x,y,z'
'-x,-y,z'
'-x+1/2,y,z'
'x+1/2,-y,z'
'x,y+1/2,z+1/2'
'-x,-y+1/2,z+1/2'
'-x+1/2,y+1/2,z+1/2'
'x+1/2,-y+1/2,z+1/2'
loop_
_atom_site_label
_atom_site_type_symbol
_atom_site_fract_x
_atom_site_fract_y
_atom_site_fract_z
Tc1 Tc 0.250 0.043 0.000
Pd1 Pd 0.250 0.439 0.017
Br1 Br 0.250 0.166 0.289

---

(2)
# Bi2Mo2Au PBE-GGA optimized geometry
# V	21.56	A^3/atom
# energy relative to the elements	4.245	eV/f.u.
# energy relative to the lowest polymorph listed for this composition	390	meV per atom
# VASP energy	-5.69	eV/atom
data_Bi2Mo2Au
_symmetry_space_group_name_H-M 'P 4/m b m'
_symmetry_Int_Tables_number 127
_symmetry_space_group_name_Hall '-P 4 2ab'
_cell_length_a 7.992
_cell_length_b 7.992
_cell_length_c 3.375
_cell_angle_alpha 90.00
_cell_angle_beta 90.00
_cell_angle_gamma 90.00
loop_
_atom_site_label
_atom_site_type_symbol
_atom_site_fract_x
_atom_site_fract_y
_atom_site_fract_z
Bi1 Bi 0.157 0.343 0.000
Mo1 Mo 0.137 0.637 0.500
Au1 Au 0.000 0.000 0.000

---

(3)
# NaTbPr PBE-GGA optimized geometry
# V	35.52	A^3/atom
# energy relative to the elements	0.311	eV/f.u.
# energy relative to the lowest polymorph listed for this composition	0	meV per atom
# VASP energy	-3.47	eV/atom
data_NaTbPr
_symmetry_space_group_name_H-M 'C 1 2/m 1'
_symmetry_Int_Tables_number 12
_cell_length_a 21.242
_cell_length_b 3.555
_cell_length_c 5.644
_cell_angle_alpha 90.00
_cell_angle_beta 90.01
_cell_angle_gamma 90.00
loop_
_symmetry_equiv_pos_as_xyz
'x,y,z'
'-x,-y,-z'
'-x,y,-z'
'x,-y,z'
'x+1/2,y+1/2,z'
'-x+1/2,-y+1/2,-z'
'-x+1/2,y+1/2,-z'
'x+1/2,-y+1/2,z'
loop_
_atom_site_label
_atom_site_type_symbol
_atom_site_fract_x
_atom_site_fract_y
_atom_site_fract_z
Na1 Na 0.207 0.000 0.249
Tb1 Tb 0.040 0.000 0.250
Pr1 Pr 0.108 0.500 0.750

---

(4)
# Pt2C PBE-GGA optimized geometry
# V	13.04	A^3/atom
# energy relative to the elements	3.618	eV/f.u.
# energy relative to the lowest polymorph listed for this composition	649	meV per atom
# VASP energy	-5.90	eV/atom
data_Pt2C
_symmetry_space_group_name_H-M 'I 41/a m d'
_symmetry_Int_Tables_number 141
_cell_length_a 2.754
_cell_length_b 2.754
_cell_length_c 20.623
_cell_angle_alpha 90.00
_cell_angle_beta 90.00
_cell_angle_gamma 90.00
loop_
_symmetry_equiv_pos_as_xyz
'x,y,z'
'-x,-y,-z'
'-y+1/4,x+3/4,z+1/4'
'y+1/4,-x+3/4,-z+1/4'
'-x+1/2,-y,z+1/2'
'x+1/2,y,-z+1/2'
'y+1/4,-x+1/4,z+3/4'
'-y+1/4,x+1/4,-z+3/4'
'x,-y,-z'
'-x,y,z'
'-y+1/4,-x+1/4,-z+3/4'
'y+1/4,x+1/4,z+3/4'
'-x+1/2,y,-z+1/2'
'x+1/2,-y,z+1/2'
'y+1/4,x+3/4,-z+1/4'
'-y+1/4,-x+3/4,z+1/4'
'x+1/2,y+1/2,z+1/2'
'-x+1/2,-y+1/2,-z+1/2'
'-y+3/4,x+1/4,z+3/4'
'y+3/4,-x+1/4,-z+3/4'
'-x,-y+1/2,z'
'x,y+1/2,-z'
'y+3/4,-x+3/4,z+1/4'
'-y+3/4,x+3/4,-z+1/4'
'x+1/2,-y+1/2,-z+1/2'
'-x+1/2,y+1/2,z+1/2'
'-y+3/4,-x+3/4,-z+1/4'
'y+3/4,x+3/4,z+1/4'
'-x,y+1/2,-z'
'x,-y+1/2,z'
'y+3/4,x+1/4,-z+3/4'
'-y+3/4,-x+1/4,z+3/4'
loop_
_atom_site_label
_atom_site_type_symbol
_atom_site_fract_x
_atom_site_fract_y
_atom_site_fract_z
Pt1 Pt 0.000 0.250 0.309
C1 C 0.000 0.250 0.875